A plane-wave DFT calculation with PBE was carried out for a relaxed TeOs3O crystal.

Unit cell a=4.211 b=4.211 c=4.211 alpha=90.00 beta=90.00 gamma=90.00
Fractional coordinates of all 5 atoms:
Te (0.000, 0.000, 0.000)
Os (0.000, 0.500, 0.500)
Os (0.500, 0.000, 0.500)
Os (0.500, 0.500, 0.000)
O (0.500, 0.500, 0.500)

Results
The energy above the lowest structure with this stoichiometry comes out at 0.000 eV/f.u. As for the density: 15.89 g/cm³. For the raw formation energy, the calculation gives 5.964 eV/f.u. The calculation puts the raw total energy at -7.165 eV/atom.